[1]
Computed, not measured: Pr2NdSm after structural relaxation at the PBE level of DFT.

## Properties
The magnetic moment is 0.0 μB/cell. For the energy relative to the lowest polymorph listed for this composition, the calculation gives 0.007 eV per formula unit. The calculation puts the formation energy at 0.013 eV/atom. As for the electronic total energy: -19.0 eV per cell.

Unit cell a=3.686 b=3.686 c=10.427 alpha=90.00 beta=90.00 gamma=90.00
Sites, in units of the cell vectors:
Pr1 0.000 0.000 0.748
Pr2 0.000 0.000 0.252
Sm1 0.500 0.500 0.500
Nd1 0.500 0.500 0.000

[2]
Computed, not measured: Na2CaF2 after structural relaxation at the PBE level of DFT.

## Properties
The magnetic moment is 0.0 μB/cell. As for the electronic total energy: -37.4 eV per cell. As for the raw formation energy: -2.065 eV per atom.

Unit cell a=6.504 b=6.504 c=5.182 alpha=90.00 beta=90.00 gamma=90.00
Sites, in units of the cell vectors:
F1 0.226 0.726 0.000
Na1 0.813 0.313 0.500
Ca1 0.500 0.500 0.000
Na2 0.687 0.813 0.500
F2 0.274 0.226 0.000
Ca2 0.000 0.000 0.000
F3 0.726 0.774 0.000
Na3 0.187 0.687 0.500
Na4 0.313 0.187 0.500
F4 0.774 0.274 0.000

[3]
Computed, not measured: Ni2PAu after structural relaxation at the PBE level of DFT.

## Properties
The magnetic moment is 0.0 μB/cell. The calculation puts the formation energy at -0.067 eV/atom. As for the electronic total energy: -41.0 eV per cell.

Unit cell a=6.588 b=6.588 c=5.318 alpha=51.73 beta=51.73 gamma=90.00
Sites, in units of the cell vectors:
Au1 0.750 0.250 0.500
Ni1 0.875 0.815 0.750
P1 0.250 0.750 0.500
P2 0.500 0.500 0.000
Ni2 0.565 0.125 0.250
Ni3 0.185 0.625 0.250
Au2 0.000 0.000 0.000
Ni4 0.375 0.435 0.750

[4]
Computed, not measured: LaHf2GaIr after structural relaxation at the PBE level of DFT.

## Properties
The magnetic moment is 0.0 μB/cell. The calculation puts the formation energy at 0.115 eV/atom. As for the electronic total energy: -36.1 eV per cell.

Unit cell a=5.189 b=5.655 c=5.189 alpha=90.00 beta=90.00 gamma=90.00
Sites, in units of the cell vectors:
Hf1 0.500 0.000 0.000
La1 0.000 0.500 0.000
Ga1 0.500 0.500 0.500
Ir1 0.000 0.000 0.000
Hf2 0.000 0.000 0.500

[5]
Computed, not measured: Ni3SnP after structural relaxation at the PBE level of DFT.

## Properties
The magnetic moment is 0.0 μB/cell. For the energy relative to the lowest polymorph listed for this composition, the calculation gives 6.410 eV per formula unit. The calculation puts the formation energy at 1.221 eV/atom. As for the electronic total energy: -20.7 eV per cell.

Unit cell a=4.622 b=4.622 c=4.622 alpha=90.00 beta=90.00 gamma=90.00
Sites, in units of the cell vectors:
Ni1 0.500 0.000 0.000
Ni2 0.000 0.500 0.000
Sn1 0.000 0.000 0.000
Ni3 0.000 0.000 0.500
P1 0.500 0.500 0.500

[6]
Computed, not measured: Zr3Si after structural relaxation at the PBE level of DFT.

## Properties
The magnetic moment is 0.0 μB/cell. As for the electronic total energy: -132.7 eV per cell. As for the raw formation energy: -0.524 eV per atom.

Unit cell a=5.600 b=7.005 c=8.532 alpha=90.00 beta=90.00 gamma=90.00
Sites, in units of the cell vectors:
Zr1 0.862 0.686 0.958
Zr2 0.362 0.814 0.042
Zr3 0.138 0.314 0.042
Zr4 0.884 0.977 0.250
Si1 0.914 0.388 0.750
Si2 0.414 0.112 0.250
Zr5 0.616 0.477 0.250
Zr6 0.362 0.814 0.458
Zr7 0.138 0.314 0.458
Si3 0.086 0.612 0.250
Si4 0.586 0.888 0.750
Zr8 0.638 0.186 0.958
Zr9 0.862 0.686 0.542
Zr10 0.638 0.186 0.542
Zr11 0.384 0.523 0.750
Zr12 0.116 0.023 0.750

[7]
Computed, not measured: BaLaFe2 after structural relaxation at the PBE level of DFT.

## Properties
The magnetic moment is 4.8 μB/cell. The calculation puts the formation energy at 0.784 eV/atom. As for the electronic total energy: -20.6 eV per cell.

Unit cell a=5.094 b=5.094 c=5.094 alpha=60.00 beta=60.00 gamma=60.00
Sites, in units of the cell vectors:
Fe1 0.000 0.000 0.000
La1 0.750 0.750 0.750
Fe2 0.250 0.250 0.250
Ba1 0.500 0.500 0.500

[8]
Computed, not measured: Y2BeW after structural relaxation at the PBE level of DFT.

## Properties
The magnetic moment is 0.0 μB/cell. The calculation puts the formation energy at 0.713 eV/atom. As for the electronic total energy: -26.8 eV per cell.

Unit cell a=4.836 b=4.836 c=4.836 alpha=60.00 beta=60.00 gamma=60.00
Sites, in units of the cell vectors:
Y1 0.250 0.250 0.250
W1 0.750 0.750 0.750
Y2 0.000 0.000 0.000
Be1 0.500 0.500 0.500